LiIrBr4 PBE relaxed; E_form (uncorrected) = 1.03 eV per atom; calculated total energy = -1.878 eV per atom; excess energy over the best structure of this formula in the dataset = 10.166 eV per formula unit
1.0
-2.267 -5.304 2.400
-4.292 0.207 4.534
-5.891 -1.702 -1.195
Li Ir Br
1 1 4
Direct
0.000 0.000 0.000
0.750 0.750 0.750
0.377 0.870 0.377
0.870 0.377 0.377
0.377 0.377 0.870
0.377 0.377 0.377

Sm3Ga3Cu PBE relaxed; calculated total energy = -4.449 eV per atom
1.0
4.387 0.000 0.661
2.177 5.369 0.439
0.160 -0.186 13.828
Sm Ga Cu
6 6 2
Direct
0.548 0.289 0.615
0.452 0.711 0.385
0.250 0.271 0.230
0.750 0.729 0.770
0.398 0.281 0.922
0.602 0.719 0.078
0.867 0.723 0.543
0.133 0.277 0.457
0.111 0.855 0.924
0.889 0.145 0.076
0.958 0.851 0.233
0.042 0.149 0.767
0.748 0.110 0.394
0.252 0.890 0.606

- Among the records above, which one has the highest calculated total energy?
  LiIrBr4

- Among the records above, which one has the lowest calculated total energy?
  Sm3Ga3Cu

Copy entry 1 word for word.
LiIrBr4 PBE relaxed; E_form (uncorrected) = 1.03 eV per atom; calculated total energy = -1.878 eV per atom; excess energy over the best structure of this formula in the dataset = 10.166 eV per formula unit
1.0
-2.267 -5.304 2.400
-4.292 0.207 4.534
-5.891 -1.702 -1.195
Li Ir Br
1 1 4
Direct
0.000 0.000 0.000
0.750 0.750 0.750
0.377 0.870 0.377
0.870 0.377 0.377
0.377 0.377 0.870
0.377 0.377 0.377

Copy entry 1 word for word.
LiIrBr4 PBE relaxed; E_form (uncorrected) = 1.03 eV per atom; calculated total energy = -1.878 eV per atom; excess energy over the best structure of this formula in the dataset = 10.166 eV per formula unit
1.0
-2.267 -5.304 2.400
-4.292 0.207 4.534
-5.891 -1.702 -1.195
Li Ir Br
1 1 4
Direct
0.000 0.000 0.000
0.750 0.750 0.750
0.377 0.870 0.377
0.870 0.377 0.377
0.377 0.377 0.870
0.377 0.377 0.377